Density functional theory data (PBE) for a relaxed TaZn3Ge crystal.

As for the density of states at the Fermi level: 0.83 states/eV/atom. For the density, the calculation gives 7.6 g/cm³. As for the energy above the most stable polymorph in this dataset: 0 kJ/mol of formula units. The calculated volume is 19.64 Å³/atom. The value obtained for the formation energy is 108.71 kJ per mole of atoms.

The structure belongs to space group Pm-3m (No. 221); the cell edges are 4.614, 4.614 and 4.614 Å and the angles 90.00°, 90.00° and 90.00°. The asymmetric unit holds Ta at (0.000, 0.000, 0.000), Zn at (0.000, 0.500, 0.500) and Ge at (0.500, 0.500, 0.500).

***

Density functional theory data (PBE) for a relaxed TaZn3Ge crystal.

As for the density of states at the Fermi level: 1.07 states/eV/atom. For the density, the calculation gives 5.9 g/cm³. As for the energy above the most stable polymorph in this dataset: 35 kJ/mol of formula units. The calculated volume is 25.12 Å³/atom. The value obtained for the formation energy is 115.69 kJ per mole of atoms.

The structure belongs to space group Pm-3m (No. 221); the cell edges are 5.008, 5.008 and 5.008 Å and the angles 90.00°, 90.00° and 90.00°. The asymmetric unit holds Ta at (0.000, 0.000, 0.000), Zn at (0.000, 0.000, 0.500) and Ge at (0.500, 0.500, 0.500).

***

Density functional theory data (PBE) for a relaxed TaZn2Ge2 crystal.

As for the density of states at the Fermi level: 0.55 states/eV/atom. For the density, the calculation gives 9.2 g/cm³. As for the energy above the most stable polymorph in this dataset: 54 kJ/mol of formula units. The calculated volume is 16.50 Å³/atom. The value obtained for the formation energy is 29.35 kJ per mole of atoms.

The structure belongs to space group P4/mbm (No. 127); the cell edges are 7.098, 7.098 and 3.276 Å and the angles 90.00°, 90.00° and 90.00°. The asymmetric unit holds Ta at (0.000, 0.000, 0.000), Zn at (0.124, 0.376, 0.000) and Ge at (0.178, 0.678, 0.500).

***

Density functional theory data (PBE) for a relaxed Ta2ZnGe crystal.

As for the density of states at the Fermi level: 1.20 states/eV/atom. For the density, the calculation gives 8.6 g/cm³. The calculated volume is 24.22 Å³/atom. The value obtained for the formation energy is 141.84 kJ per mole of atoms.

The structure belongs to space group I-42d (No. 122); the cell edges are 5.808, 5.808 and 11.487 Å and the angles 90.00°, 90.00° and 90.00°. The asymmetric unit holds Ta at (0.241, 0.250, 0.125), Zn at (0.000, 0.000, 0.000) and Ge at (0.000, 0.000, 0.500).

***

Density functional theory data (PBE) for a relaxed TaZn2Ge2 crystal.

As for the density of states at the Fermi level: 0.38 states/eV/atom. For the density, the calculation gives 9.0 g/cm³. As for the energy above the most stable polymorph in this dataset: 0 kJ/mol of formula units. The calculated volume is 16.85 Å³/atom. The value obtained for the formation energy is 18.59 kJ per mole of atoms.

The structure belongs to space group P4/mbm (No. 127); the cell edges are 6.901, 6.901 and 3.538 Å and the angles 90.00°, 90.00° and 90.00°. The asymmetric unit holds Ta at (0.000, 0.000, 0.000), Zn at (0.158, 0.342, 0.500) and Ge at (0.143, 0.643, 0.000).

***

Density functional theory data (PBE) for a relaxed TaZnGe2 crystal.

As for the density of states at the Fermi level: 1.16 states/eV/atom. For the density, the calculation gives 9.2 g/cm³. The calculated volume is 17.76 Å³/atom. The value obtained for the formation energy is 38.33 kJ per mole of atoms.

The structure belongs to space group I-42d (No. 122); the cell edges are 7.145, 7.145 and 5.568 Å and the angles 90.00°, 90.00° and 90.00°. The asymmetric unit holds Ta at (0.000, 0.000, 0.000), Zn at (0.000, 0.000, 0.500) and Ge at (0.237, 0.250, 0.625).